Entry 1:
This record from Alexandria via LeMat-Bulk describes a relaxed Ho3Zn6Ga5 crystal. The functional is GGA-PBE.

Cell lengths 4.2232, 12.4576, 9.6608 Å; angles 90.00, 90.00, 90.00 degrees
Closest atoms and distances in Å follow each position.
Space group Pmmn (No. 59, origin choice 2)
Asymmetric unit:
Ho 0.2500 0.0601 0.2486 (multiplicity 4)  7 Ga 3.08-3.43, 7 Zn 3.08-3.31
Ho 0.2500 0.7500 0.2521 (multiplicity 2)  6 Ga 3.13-3.18, 6 Zn 3.17-3.22
Zn 0.2500 0.0894 0.6171 (multiplicity 4)  4 Ga 2.48-2.63, 1 Zn 2.55
Zn 0.2500 0.2500 0.0424 (multiplicity 2)  4 Ga 2.55-2.82, 4 Zn 2.81
Zn 0.2500 0.2500 0.4536 (multiplicity 2)  2 Zn 2.55, 4 Ga 2.75
Zn 0.2500 0.6026 0.9780 (multiplicity 4)  4 Ga 2.56-2.76, 2 Zn 2.81
Ga 0.2500 0.0927 0.8736 (multiplicity 4)  5 Zn 2.48-2.63
Ga 0.2500 0.6100 0.5275 (multiplicity 4)  5 Zn 2.54-2.75
Ga 0.2500 0.7500 0.7643 (multiplicity 2)  6 Zn 2.76-2.98, 2 Ga 2.88

## Properties
The energy relative to the elements comes out at -41.63 kJ/mol of atoms. The total DFT energy (no corrections) comes out at -3.039 eV/atom.



Entry 2:
This record from Alexandria via LeMat-Bulk describes a relaxed ReNi2Br crystal. The functional is GGA-PBE.

Cell lengths 2.7349, 2.8446, 7.7729 Å; angles 90.00, 90.00, 90.00 degrees
Closest atoms and distances in Å follow each position.
Space group Pmmm (No. 47)
Asymmetric unit:
Re 0.0000 0.0000 0.0000 (multiplicity 1)  8 Ni 2.60, 4 Re 2.73-2.84
Ni 0.5000 0.5000 0.2170 (multiplicity 2)  4 Re 2.60, 2 Br 2.62, 4 Ni 2.73-2.84
Br 0.5000 0.0000 0.5000 (multiplicity 1)  4 Ni 2.62, 4 Br 2.73-2.84

## Properties
As for the excess energy over the best structure of this formula in the dataset: 0.000 eV per atom. The total DFT energy (no corrections) comes out at -6.021 eV/atom. For the uncorrected formation energy, the calculation gives 0.3996 eV per atom.



Entry 3:
This record from Alexandria via LeMat-Bulk describes a relaxed Hg2RuPtW crystal. The functional is GGA-PBE.

Cell lengths 5.2242, 5.2242, 4.5812 Å; angles 90.00, 90.00, 90.00 degrees
Closest atoms and distances in Å follow each position.
Space group P4/mmm (No. 123)
Asymmetric unit:
Hg 0.0000 0.5000 0.0000 (multiplicity 2)  2 W 2.61
Ru 0.0000 0.0000 0.5000 (multiplicity 1)  2 W 2.29
Pt 0.5000 0.5000 0.5000 (multiplicity 1)  8 Hg 3.47, 4 Ru 3.69
W 0.0000 0.0000 0.0000 (multiplicity 1)  2 Ru 2.29

## Properties
The energy relative to the elements comes out at 162.99 kJ/mol of atoms. The total DFT energy (no corrections) comes out at -4.085 eV/atom.



Entry 4:
This record from Alexandria via LeMat-Bulk describes a relaxed Na3Pu2NbN6 crystal. The functional is GGA-PBE.

Cell lengths 5.8057, 10.0576, 5.9929 Å; angles 90.00, 108.79, 90.00 degrees
Closest atoms and distances in Å follow each position.
Space group C2/m (No. 12)
Asymmetric unit:
Na 0.0000 0.0000 0.0000 (multiplicity 2)  6 N 2.61-2.66
Na 0.0000 0.3377 0.0000 (multiplicity 4)  6 N 2.58-2.69
Pu 0.0000 0.1668 0.5000 (multiplicity 4)  6 N 2.23
Nb 0.0000 0.5000 0.5000 (multiplicity 2)  6 N 2.17
N 0.2248 0.3377 0.6880 (multiplicity 8)  1 Nb 2.17, 2 Pu 2.23
N 0.2375 0.0000 0.6875 (multiplicity 4)  1 Nb 2.17, 2 Pu 2.23

## Properties
The total DFT energy (no corrections) comes out at -8.501 eV/atom. For the uncorrected formation energy, the calculation gives -0.7809 eV per atom.



Entry 5:
This record from Alexandria via LeMat-Bulk describes a relaxed CrFe2Cu crystal. The functional is GGA-PBE.

Cell lengths 6.3729, 6.3729, 4.9691 Å; angles 90.00, 90.00, 90.00 degrees
Closest atoms and distances in Å follow each position.
Space group I-42d (No. 122)
Asymmetric unit:
Cr 0.0000 0.0000 0.0000 (multiplicity 4)  4 Fe 2.22, 2 Cu 2.48
Fe 0.2231 0.7500 0.1250 (multiplicity 8)  2 Cr 2.22, 2 Cu 2.46
Cu 0.0000 0.0000 0.5000 (multiplicity 4)  4 Fe 2.46, 2 Cr 2.48

## Properties
The energy relative to the elements comes out at 58.44 kJ/mol of atoms. The total DFT energy (no corrections) comes out at -7.056 eV/atom.



Entry 6:
This record from Alexandria via LeMat-Bulk describes a relaxed Rh3IN crystal. The functional is GGA-PBE.

Cell lengths 4.9011, 4.9011, 4.9011 Å; angles 90.00, 90.00, 90.00 degrees
Closest atoms and distances in Å follow each position.
Space group Pm-3m (No. 221)
Asymmetric unit:
Rh 0.0000 0.0000 0.5000 (multiplicity 3)  2 I 2.45
I 0.0000 0.0000 0.0000 (multiplicity 1)  6 Rh 2.45
N 0.5000 0.5000 0.5000 (multiplicity 1)  12 Rh 3.47

## Properties
As for the excess energy over the best structure of this formula in the dataset: 1.677 eV per atom. The total DFT energy (no corrections) comes out at -4.119 eV/atom. For the uncorrected formation energy, the calculation gives 2.2667 eV per atom.



Entry 7:
This record from Alexandria via LeMat-Bulk describes a relaxed YTmTc crystal. The functional is GGA-PBE.

Cell lengths 6.6591, 12.1564, 7.6999 Å; angles 90.00, 90.00, 90.00 degrees
Closest atoms and distances in Å follow each position.
Space group Cmce (No. 64)
Asymmetric unit:
Y 0.0000 0.1926 0.1101 (multiplicity 8)  2 Tc 2.81-2.92
Tm 0.2500 0.0483 0.7500 (multiplicity 8)  4 Tc 2.86-2.91
Tc 0.0000 0.0975 0.4582 (multiplicity 8)  1 Tc 2.46

## Properties
As for the excess energy over the best structure of this formula in the dataset: 0.095 eV per atom. The energy relative to the elements comes out at 3.64 kJ/mol of atoms. The total DFT energy (no corrections) comes out at -7.063 eV/atom.



Entry 8:
This record from Alexandria via LeMat-Bulk describes a relaxed P2IrAuS crystal. The functional is GGA-PBE.

Cell lengths 4.6835, 4.6835, 4.7368 Å; angles 90.00, 90.00, 90.00 degrees
Closest atoms and distances in Å follow each position.
Space group P4/mmm (No. 123)
Asymmetric unit:
P 0.0000 0.5000 0.0000 (multiplicity 2)  2 Au 2.34
Ir 0.0000 0.0000 0.5000 (multiplicity 1)  4 S 3.31, 8 P 3.33
Au 0.5000 0.5000 0.0000 (multiplicity 1)  4 P 2.34, 2 S 2.37
S 0.5000 0.5000 0.5000 (multiplicity 1)  2 Au 2.37

## Properties
As for the excess energy over the best structure of this formula in the dataset: 0.886 eV per atom. The total DFT energy (no corrections) comes out at -3.767 eV/atom. For the uncorrected formation energy, the calculation gives 1.6496 eV per atom.



Entry 9:
This record from Alexandria via LeMat-Bulk describes a relaxed Pu2GaRh3 crystal. The functional is GGA-PBE.

Cell lengths 5.5618, 5.5618, 8.0056 Å; angles 90.00, 90.00, 120.00 degrees
Closest atoms and distances in Å follow each position.
Space group P6_3/mmc (No. 194)
Asymmetric unit:
Pu 0.3333 0.6667 0.0703 (multiplicity 4)  1 Pu 2.88, 9 Rh 3.01-3.13
Ga 0.0000 0.0000 0.0000 (multiplicity 2)  6 Rh 2.59
Rh 0.1704 0.3409 0.7500 (multiplicity 6)  2 Ga 2.59, 4 Rh 2.72-2.84

## Properties
As for the excess energy over the best structure of this formula in the dataset: 0.026 eV per atom. The energy relative to the elements comes out at -61.32 kJ/mol of atoms. The total DFT energy (no corrections) comes out at -9.593 eV/atom.



Entry 10:
This record from Alexandria via LeMat-Bulk describes a relaxed ZrCrMo2 crystal. The functional is GGA-PBE.

Cell lengths 6.3513, 6.3513, 6.3513 Å; angles 90.00, 90.00, 90.00 degrees
Closest atoms and distances in Å follow each position.
Space group Fm-3m (No. 225)
Asymmetric unit:
Zr 0.0000 0.0000 0.0000 (multiplicity 4)  8 Mo 2.75
Cr 0.0000 0.0000 0.5000 (multiplicity 4)  8 Mo 2.75
Mo 0.2500 0.2500 0.2500 (multiplicity 8)  4 Cr 2.75, 4 Zr 2.75

## Properties
As for the excess energy over the best structure of this formula in the dataset: 0.079 eV per atom. The energy relative to the elements comes out at 13.92 kJ/mol of atoms. The total DFT energy (no corrections) comes out at -9.814 eV/atom.



Entry 11:
This record from Alexandria via LeMat-Bulk describes a relaxed PaInPN4 crystal. The functional is GGA-PBE.

Cell lengths 6.3158, 6.5627, 8.6887 Å; angles 90.00, 90.00, 90.00 degrees
Closest atoms and distances in Å follow each position.
Space group Imma (No. 74)
Asymmetric unit:
Pa 0.0000 0.0000 0.0000 (multiplicity 4)  6 N 2.22-2.42
In 0.2500 0.2500 0.2500 (multiplicity 4)  6 N 2.35-2.49
P 0.0000 0.2500 0.6273 (multiplicity 4)  4 N 1.67-1.70
N 0.0000 0.0442 0.7464 (multiplicity 8)  1 P 1.70
N 0.2198 0.2500 0.5196 (multiplicity 8)  1 P 1.67

## Properties
The total DFT energy (no corrections) comes out at -7.683 eV/atom. For the uncorrected formation energy, the calculation gives -0.4053 eV per atom.



Entry 12:
This record from Alexandria via LeMat-Bulk describes a relaxed K6Rb2NaH crystal. The functional is GGA-PBE.

Cell lengths 8.7137, 8.8335, 9.5170 Å; angles 104.53, 91.03, 117.42 degrees
Closest atoms and distances in Å follow each position.
Space group P1 (No. 1)
Asymmetric unit:
K 0.0000 0.0000 0.0000 (multiplicity 1)  1 H 2.88
K 0.0645 0.5195 0.7425 (multiplicity 1)  7 K 4.32-4.79, 1 Na 4.45, 1 H 4.47, 1 Rb 4.66
K 0.1672 0.0452 0.6182 (multiplicity 1)  1 H 2.87
K 0.4366 0.0264 0.1464 (multiplicity 1)  1 H 2.84
K 0.5105 0.4920 0.0053 (multiplicity 1)  1 H 2.83
K 0.5917 0.0535 0.7604 (multiplicity 1)  1 H 2.83
Rb 0.0408 0.5311 0.2555 (multiplicity 1)  1 Na 4.51, 8 K 4.54-4.99, 1 Rb 4.82
Rb 0.5733 0.5388 0.5156 (multiplicity 1)  1 Na 4.33, 5 K 4.49-4.80, 1 Rb 4.82
Na 0.7918 0.0165 0.3758 (multiplicity 1)  4 K 3.80-4.09
H 0.3370 0.1154 0.9057 (multiplicity 1)  5 K 2.83-2.88

## Properties
The total DFT energy (no corrections) comes out at -1.294 eV/atom.